# AcY5Ag6 GGA-PBE optimized geometry
# Formation enthalpy at 0 K = -0.299 eV/atom
# VASP energy = -114.237 eV for the cell shown
data_AcY5Ag6
_symmetry_space_group_name_H-M 'I m m m'
_symmetry_Int_Tables_number 71
_symmetry_space_group_name_Hall '-I 2 2'
_cell_length_a 5.255
_cell_length_b 7.325
_cell_length_c 15.807
_cell_angle_alpha 90.00
_cell_angle_beta 90.00
_cell_angle_gamma 90.00
loop_
_atom_site_label
_atom_site_type_symbol
_atom_site_fract_x
_atom_site_fract_y
_atom_site_fract_z
Ac1 Ac 0.000 0.000 0.000
Y1 Y 0.000 0.000 0.331
Y2 Y 0.000 0.500 0.000
Y3 Y 0.000 0.500 0.334
Ag1 Ag 0.000 0.225 0.500
Ag2 Ag 0.000 0.262 0.173

---

# Ac5YAg6 GGA-PBE optimized geometry
# Formation enthalpy at 0 K = -0.256 eV/atom
# VASP energy = -94.381 eV for the cell shown
data_Ac5YAg6
_symmetry_space_group_name_H-M 'C 1 2/m 1'
_symmetry_Int_Tables_number 12
_cell_length_a 9.564
_cell_length_b 16.622
_cell_length_c 5.540
_cell_angle_alpha 90.00
_cell_angle_beta 125.31
_cell_angle_gamma 90.00
loop_
_symmetry_equiv_pos_as_xyz
'x,y,z'
'-x,-y,-z'
'-x,y,-z'
'x,-y,z'
'x+1/2,y+1/2,z'
'-x+1/2,-y+1/2,-z'
'-x+1/2,y+1/2,-z'
'x+1/2,-y+1/2,z'
loop_
_atom_site_label
_atom_site_type_symbol
_atom_site_fract_x
_atom_site_fract_y
_atom_site_fract_z
Ac1 Ac 0.000 0.000 0.000
Ac2 Ac 0.000 0.164 0.500
Ac3 Ac 0.000 0.331 0.000
Y1 Y 0.000 0.500 0.500
Ag1 Ag 0.226 0.500 0.226
Ag2 Ag 0.237 0.341 0.736

---

# Ac2YAg5 GGA-PBE optimized geometry
# Formation enthalpy at 0 K = -0.183 eV/atom
# VASP energy = -60.802 eV for the cell shown
data_Ac2YAg5
_symmetry_space_group_name_H-M 'I 4/m m m'
_symmetry_Int_Tables_number 139
_symmetry_space_group_name_Hall '-I 4 2'
_cell_length_a 5.337
_cell_length_b 5.337
_cell_length_c 14.700
_cell_angle_alpha 90.00
_cell_angle_beta 90.00
_cell_angle_gamma 90.00
loop_
_atom_site_label
_atom_site_type_symbol
_atom_site_fract_x
_atom_site_fract_y
_atom_site_fract_z
Ac1 Ac 0.000 0.000 0.226
Y1 Y 0.000 0.000 0.500
Ag1 Ag 0.000 0.000 0.000
Ag2 Ag 0.000 0.500 0.103

---

# AcY3Ag4 GGA-PBE optimized geometry
# Formation enthalpy at 0 K = -0.282 eV/atom
# VASP energy = -37.164 eV for the cell shown
data_AcY3Ag4
_symmetry_space_group_name_H-M 'P 4/m m m'
_symmetry_Int_Tables_number 123
_symmetry_space_group_name_Hall '-P 4 2'
_cell_length_a 5.276
_cell_length_b 5.276
_cell_length_c 7.449
_cell_angle_alpha 90.00
_cell_angle_beta 90.00
_cell_angle_gamma 90.00
loop_
_atom_site_label
_atom_site_type_symbol
_atom_site_fract_x
_atom_site_fract_y
_atom_site_fract_z
Ac1 Ac 0.000 0.000 0.000
Y1 Y 0.000 0.000 0.500
Y2 Y 0.500 0.500 0.000
Y3 Y 0.500 0.500 0.500
Ag1 Ag 0.000 0.500 0.271

---

# AcYAg3 GGA-PBE optimized geometry
# Formation enthalpy at 0 K = -0.285 eV/atom
# VASP energy = -82.206 eV for the cell shown
data_AcYAg3
_symmetry_space_group_name_H-M 'C m c m'
_symmetry_Int_Tables_number 63
_symmetry_space_group_name_Hall '-C 2c 2'
_cell_length_a 3.896
_cell_length_b 28.209
_cell_length_c 4.819
_cell_angle_alpha 90.00
_cell_angle_beta 90.00
_cell_angle_gamma 90.00
loop_
_atom_site_label
_atom_site_type_symbol
_atom_site_fract_x
_atom_site_fract_y
_atom_site_fract_z
Ac1 Ac 0.000 0.077 0.250
Y1 Y 0.000 0.209 0.750
Ag1 Ag 0.000 0.318 0.750
Ag2 Ag 0.000 0.375 0.250
Ag3 Ag 0.000 0.475 0.250

---

# AcYAg2 GGA-PBE optimized geometry
# Formation enthalpy at 0 K = -0.283 eV/atom
# Offset from the most stable computed form = 0.000 eV per atom
# VASP energy = -17.408 eV for the cell shown
data_AcYAg2
_symmetry_space_group_name_H-M 'P 4/m m m'
_symmetry_Int_Tables_number 123
_symmetry_space_group_name_Hall '-P 4 2'
_cell_length_a 3.776
_cell_length_b 3.776
_cell_length_c 7.684
_cell_angle_alpha 90.00
_cell_angle_beta 90.00
_cell_angle_gamma 90.00
loop_
_atom_site_label
_atom_site_type_symbol
_atom_site_fract_x
_atom_site_fract_y
_atom_site_fract_z
Ac1 Ac 0.000 0.000 0.000
Y1 Y 0.000 0.000 0.500
Ag1 Ag 0.500 0.500 0.285

---

Q: formation enthalpy at 0 K of number 1 (AcY5Ag6)?
A: -0.299 eV/atom